#a
Crystalline DyIrOs at its relaxed geometry, computed with GGA-PBE. Values from VASP.

Structure (Quantum ESPRESSO input):
```
&SYSTEM
  ibrav = 0, nat = 12, ntyp = 3
/
ATOMIC_SPECIES
Dy 162.50 Dy.upf
Ir 192.22 Ir.upf
Os 190.23 Os.upf
ATOMIC_POSITIONS crystal
Dy 0.181 0.000 0.000
Dy 0.316 0.333 0.333
Dy 0.684 0.333 0.333
Dy 0.819 0.000 0.000
Ir 0.000 0.010 0.501
Ir 0.000 0.501 0.010
Ir 0.249 0.664 0.664
Ir 0.751 0.664 0.664
Os 0.000 0.497 0.497
Os 0.500 0.327 0.837
Os 0.500 0.837 0.327
Os 0.500 0.842 0.842
CELL_PARAMETERS angstrom
8.895 0.000 0.000
0.000 2.668 4.571
0.000 -2.668 4.571
```

---

#b
Crystalline DyIrOs at its relaxed geometry, computed with GGA-PBE. Values from VASP.

Structure (Quantum ESPRESSO input):
```
&SYSTEM
  ibrav = 0, nat = 12, ntyp = 3
/
ATOMIC_SPECIES
Dy 162.50 Dy.upf
Ir 192.22 Ir.upf
Os 190.23 Os.upf
ATOMIC_POSITIONS crystal
Dy 0.000 0.250 0.123
Dy 0.000 0.750 0.877
Dy 0.500 0.250 0.377
Dy 0.500 0.750 0.623
Ir 0.000 0.000 0.500
Ir 0.000 0.500 0.500
Ir 0.500 0.000 0.000
Ir 0.500 0.500 0.000
Os 0.250 0.250 0.750
Os 0.250 0.750 0.250
Os 0.750 0.250 0.750
Os 0.750 0.750 0.250
CELL_PARAMETERS angstrom
5.171 0.000 0.000
0.000 5.446 0.000
0.000 0.000 7.724
```

---

Most stable = #a

---

#a
Crystalline DyPaIr2 at its relaxed geometry, computed with GGA-PBE. Values from VASP.

Structure (Quantum ESPRESSO input):
```
&SYSTEM
  ibrav = 0, nat = 16, ntyp = 3
/
ATOMIC_SPECIES
Dy 162.50 Dy.upf
Pa 231.04 Pa.upf
Ir 192.22 Ir.upf
ATOMIC_POSITIONS crystal
Dy 0.142 0.000 0.347
Dy 0.358 0.500 0.653
Dy 0.642 0.500 0.347
Dy 0.858 0.000 0.653
Pa 0.139 0.500 0.942
Pa 0.361 0.000 0.058
Pa 0.639 0.000 0.942
Pa 0.861 0.500 0.058
Ir 0.094 0.500 0.395
Ir 0.122 0.000 0.830
Ir 0.378 0.500 0.170
Ir 0.406 0.000 0.605
Ir 0.594 0.000 0.395
Ir 0.622 0.500 0.830
Ir 0.878 0.000 0.170
Ir 0.906 0.500 0.605
CELL_PARAMETERS angstrom
12.430 0.000 0.000
0.000 5.581 0.000
-2.557 0.000 5.140
```

---

#b
Crystalline DyPaIr2 at its relaxed geometry, computed with GGA-PBE. Values from VASP.

Structure (Quantum ESPRESSO input):
```
&SYSTEM
  ibrav = 0, nat = 4, ntyp = 3
/
ATOMIC_SPECIES
Dy 162.50 Dy.upf
Pa 231.04 Pa.upf
Ir 192.22 Ir.upf
ATOMIC_POSITIONS crystal
Dy 0.000 0.000 0.000
Pa 0.000 0.000 0.500
Ir 0.500 0.500 0.274
Ir 0.500 0.500 0.726
CELL_PARAMETERS angstrom
3.469 0.000 0.000
0.000 3.469 0.000
0.000 0.000 6.966
```

---

#c
Crystalline DyPaIr2 at its relaxed geometry, computed with GGA-PBE. Values from VASP.

Structure (Quantum ESPRESSO input):
```
&SYSTEM
  ibrav = 0, nat = 12, ntyp = 3
/
ATOMIC_SPECIES
Dy 162.50 Dy.upf
Pa 231.04 Pa.upf
Ir 192.22 Ir.upf
ATOMIC_POSITIONS crystal
Dy 0.000 0.000 0.000
Dy 0.333 0.667 0.667
Dy 0.667 0.333 0.333
Pa 0.000 0.000 0.500
Pa 0.333 0.667 0.167
Pa 0.667 0.333 0.833
Ir 0.000 0.000 0.245
Ir 0.000 0.000 0.755
Ir 0.333 0.667 0.422
Ir 0.333 0.667 0.911
Ir 0.667 0.333 0.089
Ir 0.667 0.333 0.578
CELL_PARAMETERS angstrom
3.937 0.000 0.000
-1.969 3.410 0.000
0.000 0.000 20.282
```

---

#d
Crystalline DyPaIr2 at its relaxed geometry, computed with GGA-PBE. Values from VASP.

Structure (Quantum ESPRESSO input):
```
&SYSTEM
  ibrav = 0, nat = 8, ntyp = 3
/
ATOMIC_SPECIES
Dy 162.50 Dy.upf
Pa 231.04 Pa.upf
Ir 192.22 Ir.upf
ATOMIC_POSITIONS crystal
Dy 0.221 0.250 0.437
Dy 0.779 0.750 0.563
Pa 0.217 0.250 0.930
Pa 0.783 0.750 0.070
Ir 0.293 0.750 0.188
Ir 0.324 0.750 0.729
Ir 0.676 0.250 0.271
Ir 0.707 0.250 0.812
CELL_PARAMETERS angstrom
5.919 0.000 0.000
0.000 4.083 0.000
-2.700 0.000 7.175
```

---

Most stable = #d

---

#a
Crystalline DyPaIrPd at its relaxed geometry, computed with GGA-PBE. Values from VASP.

Structure (Quantum ESPRESSO input):
```
&SYSTEM
  ibrav = 0, nat = 8, ntyp = 4
/
ATOMIC_SPECIES
Dy 162.50 Dy.upf
Pa 231.04 Pa.upf
Ir 192.22 Ir.upf
Pd 106.42 Pd.upf
ATOMIC_POSITIONS crystal
Dy 0.000 0.000 0.000
Dy 0.000 0.500 0.500
Pa 0.500 0.000 0.725
Pa 0.500 0.500 0.225
Ir 0.000 0.000 0.253
Ir 0.000 0.500 0.753
Pd 0.500 0.000 0.438
Pd 0.500 0.500 0.938
CELL_PARAMETERS angstrom
4.109 0.000 0.000
0.000 3.751 0.000
0.000 0.000 11.496
```

---

#b
Crystalline DyPaIrPd at its relaxed geometry, computed with GGA-PBE. Values from VASP.

Structure (Quantum ESPRESSO input):
```
&SYSTEM
  ibrav = 0, nat = 16, ntyp = 4
/
ATOMIC_SPECIES
Dy 162.50 Dy.upf
Pa 231.04 Pa.upf
Ir 192.22 Ir.upf
Pd 106.42 Pd.upf
ATOMIC_POSITIONS crystal
Dy 0.000 0.000 0.000
Dy 0.000 0.500 0.500
Dy 0.500 0.000 0.500
Dy 0.500 0.500 0.000
Pa 0.000 0.000 0.500
Pa 0.000 0.500 0.000
Pa 0.500 0.000 0.000
Pa 0.500 0.500 0.500
Ir 0.250 0.250 0.750
Ir 0.250 0.750 0.250
Ir 0.750 0.250 0.250
Ir 0.750 0.750 0.750
Pd 0.250 0.250 0.250
Pd 0.250 0.750 0.750
Pd 0.750 0.250 0.750
Pd 0.750 0.750 0.250
CELL_PARAMETERS angstrom
6.959 0.000 0.000
0.000 6.959 0.000
0.000 0.000 6.959
```

---

Most stable = #a

---

#a
Crystalline DyYIrPb at its relaxed geometry, computed with GGA-PBE. Values from VASP.

Structure (Quantum ESPRESSO input):
```
&SYSTEM
  ibrav = 0, nat = 4, ntyp = 4
/
ATOMIC_SPECIES
Dy 162.50 Dy.upf
Y 88.91 Y.upf
Ir 192.22 Ir.upf
Pb 207.20 Pb.upf
ATOMIC_POSITIONS crystal
Dy 0.000 0.000 0.000
Y 0.000 0.000 0.410
Ir 0.500 0.500 0.202
Pb 0.500 0.500 0.704
CELL_PARAMETERS angstrom
3.500 0.000 0.000
0.000 3.500 0.000
0.000 0.000 8.030
```

---

#b
Crystalline DyYIrPb at its relaxed geometry, computed with GGA-PBE. Values from VASP.

Structure (Quantum ESPRESSO input):
```
&SYSTEM
  ibrav = 0, nat = 16, ntyp = 4
/
ATOMIC_SPECIES
Dy 162.50 Dy.upf
Y 88.91 Y.upf
Ir 192.22 Ir.upf
Pb 207.20 Pb.upf
ATOMIC_POSITIONS crystal
Dy 0.000 0.000 0.000
Dy 0.000 0.500 0.500
Dy 0.500 0.000 0.500
Dy 0.500 0.500 0.000
Y 0.000 0.000 0.500
Y 0.000 0.500 0.000
Y 0.500 0.000 0.000
Y 0.500 0.500 0.500
Ir 0.250 0.250 0.250
Ir 0.250 0.750 0.750
Ir 0.750 0.250 0.750
Ir 0.750 0.750 0.250
Pb 0.250 0.250 0.750
Pb 0.250 0.750 0.250
Pb 0.750 0.250 0.250
Pb 0.750 0.750 0.750
CELL_PARAMETERS angstrom
7.268 0.000 0.000
0.000 7.268 0.000
0.000 0.000 7.268
```

---

Most stable = #a

---

#a
Crystalline Dy4IrPd2 at its relaxed geometry, computed with GGA-PBE. Values from VASP.

Structure (Quantum ESPRESSO input):
```
&SYSTEM
  ibrav = 0, nat = 7, ntyp = 3
/
ATOMIC_SPECIES
Dy 162.50 Dy.upf
Ir 192.22 Ir.upf
Pd 106.42 Pd.upf
ATOMIC_POSITIONS crystal
Dy 0.123 0.123 0.123
Dy 0.373 0.373 0.373
Dy 0.627 0.627 0.627
Dy 0.877 0.877 0.877
Ir 0.000 0.000 0.000
Pd 0.249 0.249 0.249
Pd 0.751 0.751 0.751
CELL_PARAMETERS angstrom
2.444 1.411 8.052
-2.444 1.411 8.052
0.000 -2.822 8.052
```

---

#b
Crystalline Dy4IrPd2 at its relaxed geometry, computed with GGA-PBE. Values from VASP.

Structure (Quantum ESPRESSO input):
```
&SYSTEM
  ibrav = 0, nat = 14, ntyp = 3
/
ATOMIC_SPECIES
Dy 162.50 Dy.upf
Ir 192.22 Ir.upf
Pd 106.42 Pd.upf
ATOMIC_POSITIONS crystal
Dy 0.133 0.002 0.749
Dy 0.134 0.503 0.751
Dy 0.253 0.384 0.251
Dy 0.497 0.248 0.631
Dy 0.616 0.867 0.869
Dy 0.617 0.866 0.369
Dy 0.752 0.383 0.249
Dy 0.998 0.747 0.131
Ir 0.250 0.750 0.500
Ir 0.500 0.500 0.000
Pd 0.375 0.005 0.130
Pd 0.755 0.625 0.630
Pd 0.875 0.245 0.870
Pd 0.995 0.125 0.370
CELL_PARAMETERS angstrom
-4.342 4.342 4.373
4.342 -4.342 4.373
4.342 4.342 -4.373
```

---

Most stable = #b

---

#a
Crystalline Dy2IrPd at its relaxed geometry, computed with GGA-PBE. Values from VASP.

Structure (Quantum ESPRESSO input):
```
&SYSTEM
  ibrav = 0, nat = 4, ntyp = 3
/
ATOMIC_SPECIES
Dy 162.50 Dy.upf
Ir 192.22 Ir.upf
Pd 106.42 Pd.upf
ATOMIC_POSITIONS crystal
Dy 0.000 0.000 0.239
Dy 0.000 0.000 0.761
Ir 0.500 0.500 0.000
Pd 0.500 0.500 0.500
CELL_PARAMETERS angstrom
3.470 0.000 0.000
0.000 3.470 0.000
0.000 0.000 6.941
```

---

#b
Crystalline Dy2IrPd at its relaxed geometry, computed with GGA-PBE. Values from VASP.

Structure (Quantum ESPRESSO input):
```
&SYSTEM
  ibrav = 0, nat = 16, ntyp = 3
/
ATOMIC_SPECIES
Dy 162.50 Dy.upf
Ir 192.22 Ir.upf
Pd 106.42 Pd.upf
ATOMIC_POSITIONS crystal
Dy 0.250 0.250 0.250
Dy 0.250 0.250 0.750
Dy 0.250 0.750 0.250
Dy 0.250 0.750 0.750
Dy 0.750 0.250 0.250
Dy 0.750 0.250 0.750
Dy 0.750 0.750 0.250
Dy 0.750 0.750 0.750
Ir 0.000 0.000 0.000
Ir 0.000 0.500 0.500
Ir 0.500 0.000 0.500
Ir 0.500 0.500 0.000
Pd 0.000 0.000 0.500
Pd 0.000 0.500 0.000
Pd 0.500 0.000 0.000
Pd 0.500 0.500 0.500
CELL_PARAMETERS angstrom
6.925 0.000 0.000
0.000 6.925 0.000
0.000 0.000 6.925
```

---

Most stable = #b

---

#a
Crystalline DyThIrPd at its relaxed geometry, computed with GGA-PBE. Values from VASP.

Structure (Quantum ESPRESSO input):
```
&SYSTEM
  ibrav = 0, nat = 8, ntyp = 4
/
ATOMIC_SPECIES
Dy 162.50 Dy.upf
Th 232.04 Th.upf
Ir 192.22 Ir.upf
Pd 106.42 Pd.upf
ATOMIC_POSITIONS crystal
Dy 0.000 0.000 0.000
Dy 0.000 0.500 0.500
Th 0.500 0.000 0.276
Th 0.500 0.500 0.776
Ir 0.000 0.000 0.739
Ir 0.000 0.500 0.239
Pd 0.500 0.000 0.552
Pd 0.500 0.500 0.052
CELL_PARAMETERS angstrom
4.249 0.000 0.000
0.000 3.868 0.000
0.000 0.000 11.234
```

---

#b
Crystalline DyThIrPd at its relaxed geometry, computed with GGA-PBE. Values from VASP.

Structure (Quantum ESPRESSO input):
```
&SYSTEM
  ibrav = 0, nat = 16, ntyp = 4
/
ATOMIC_SPECIES
Dy 162.50 Dy.upf
Th 232.04 Th.upf
Ir 192.22 Ir.upf
Pd 106.42 Pd.upf
ATOMIC_POSITIONS crystal
Dy 0.000 0.000 0.000
Dy 0.000 0.500 0.500
Dy 0.500 0.000 0.500
Dy 0.500 0.500 0.000
Th 0.000 0.000 0.500
Th 0.000 0.500 0.000
Th 0.500 0.000 0.000
Th 0.500 0.500 0.500
Ir 0.250 0.250 0.250
Ir 0.250 0.750 0.750
Ir 0.750 0.250 0.750
Ir 0.750 0.750 0.250
Pd 0.250 0.250 0.750
Pd 0.250 0.750 0.250
Pd 0.750 0.250 0.250
Pd 0.750 0.750 0.750
CELL_PARAMETERS angstrom
7.092 0.000 0.000
0.000 7.092 0.000
0.000 0.000 7.092
```

---

Most stable = #a

---

#a
Crystalline PmDy2Ir at its relaxed geometry, computed with GGA-PBE. Values from VASP.

Structure (Quantum ESPRESSO input):
```
&SYSTEM
  ibrav = 0, nat = 12, ntyp = 3
/
ATOMIC_SPECIES
Pm 145.00 Pm.upf
Dy 162.50 Dy.upf
Ir 192.22 Ir.upf
ATOMIC_POSITIONS crystal
Pm 0.000 0.000 0.000
Pm 0.333 0.667 0.667
Pm 0.667 0.333 0.333
Dy 0.000 0.000 0.554
Dy 0.000 0.000 0.775
Dy 0.333 0.667 0.220
Dy 0.333 0.667 0.441
Dy 0.667 0.333 0.108
Dy 0.667 0.333 0.887
Ir 0.000 0.000 0.164
Ir 0.333 0.667 0.831
Ir 0.667 0.333 0.497
CELL_PARAMETERS angstrom
3.999 0.000 0.000
-2.000 3.464 0.000
0.000 0.000 26.558
```

---

#b
Crystalline PmDy2Ir at its relaxed geometry, computed with GGA-PBE. Values from VASP.

Structure (Quantum ESPRESSO input):
```
&SYSTEM
  ibrav = 0, nat = 12, ntyp = 3
/
ATOMIC_SPECIES
Pm 145.00 Pm.upf
Dy 162.50 Dy.upf
Ir 192.22 Ir.upf
ATOMIC_POSITIONS crystal
Pm 0.000 0.000 0.000
Pm 0.333 0.667 0.667
Pm 0.667 0.333 0.333
Dy 0.000 0.000 0.115
Dy 0.000 0.000 0.885
Dy 0.333 0.667 0.552
Dy 0.333 0.667 0.782
Dy 0.667 0.333 0.218
Dy 0.667 0.333 0.448
Ir 0.000 0.000 0.500
Ir 0.333 0.667 0.167
Ir 0.667 0.333 0.833
CELL_PARAMETERS angstrom
3.794 0.000 0.000
-1.897 3.285 0.000
0.000 0.000 31.623
```

---

#c
Crystalline PmDy2Ir at its relaxed geometry, computed with GGA-PBE. Values from VASP.

Structure (Quantum ESPRESSO input):
```
&SYSTEM
  ibrav = 0, nat = 16, ntyp = 3
/
ATOMIC_SPECIES
Pm 145.00 Pm.upf
Dy 162.50 Dy.upf
Ir 192.22 Ir.upf
ATOMIC_POSITIONS crystal
Pm 0.000 0.073 0.250
Pm 0.000 0.927 0.750
Pm 0.500 0.427 0.750
Pm 0.500 0.573 0.250
Dy 0.000 0.358 0.067
Dy 0.000 0.358 0.433
Dy 0.000 0.642 0.567
Dy 0.000 0.642 0.933
Dy 0.500 0.142 0.567
Dy 0.500 0.142 0.933
Dy 0.500 0.858 0.067
Dy 0.500 0.858 0.433
Ir 0.000 0.246 0.750
Ir 0.000 0.754 0.250
Ir 0.500 0.254 0.250
Ir 0.500 0.746 0.750
CELL_PARAMETERS angstrom
3.870 0.000 0.000
0.000 12.231 0.000
0.000 0.000 9.265
```

---

Most stable = #c